NaBiO2F after structural relaxation. Source: Alexandria via LeMat-Bulk, functional PBE.

For the uncorrected formation energy, the calculation gives -1.45 eV/atom.

It has space group P4/mmm (No. 123), with a = 4.319 Å, b = 4.319 Å, c = 4.566 Å, α = 90.00°, β = 90.00° and γ = 90.00°. The asymmetric unit holds Na at (0.000, 0.000, 0.000), Bi at (0.500, 0.500, 0.500), O at (0.000, 0.500, 0.500) and F at (0.500, 0.500, 0.000).

=====

NaBiO2F after structural relaxation. Source: Alexandria via LeMat-Bulk, functional PBE.

For the uncorrected formation energy, the calculation gives -0.79 eV/atom.

It has space group P4/mmm (No. 123), with a = 4.129 Å, b = 4.129 Å, c = 3.912 Å, α = 90.00°, β = 90.00° and γ = 90.00°. The asymmetric unit holds Na at (0.000, 0.000, 0.000), Bi at (0.500, 0.500, 0.500), O at (0.000, 0.500, 0.000) and F at (0.000, 0.000, 0.500).

=====

NaBi2PF after structural relaxation. Source: Alexandria via LeMat-Bulk, functional PBE.

For the uncorrected formation energy, the calculation gives 0.58 eV/atom.

It has space group P4/mmm (No. 123), with a = 5.424 Å, b = 5.424 Å, c = 4.761 Å, α = 90.00°, β = 90.00° and γ = 90.00°. The asymmetric unit holds Na at (0.000, 0.000, 0.000), Bi at (0.000, 0.500, 0.000), P at (0.000, 0.000, 0.500) and F at (0.500, 0.500, 0.500).

=====

Na2BiPbF8 after structural relaxation. Source: Alexandria via LeMat-Bulk, functional PBE.

For the uncorrected formation energy, the calculation gives -2.45 eV/atom.

It has space group Pmmm (No. 47), with a = 3.961 Å, b = 5.609 Å, c = 7.922 Å, α = 90.00°, β = 90.00° and γ = 90.00°. The asymmetric unit holds Na at (0.000, 0.000, 0.249), Bi at (0.500, 0.500, 0.000), Pb at (0.500, 0.500, 0.500), F at (0.000, 0.261, 0.000), F at (0.000, 0.269, 0.500) and F at (0.500, 0.261, 0.249).

=====

NaBiPbF2 after structural relaxation. Source: Alexandria via LeMat-Bulk, functional PBE.

For the uncorrected formation energy, the calculation gives -0.97 eV/atom.

It has space group P4/mmm (No. 123), with a = 4.595 Å, b = 4.595 Å, c = 6.615 Å, α = 90.00°, β = 90.00° and γ = 90.00°. The asymmetric unit holds Na at (0.000, 0.000, 0.000), Bi at (0.000, 0.000, 0.500), Pb at (0.500, 0.500, 0.000) and F at (0.000, 0.500, 0.500).

=====

NaBiPbF2 after structural relaxation. Source: Alexandria via LeMat-Bulk, functional PBE.

For the uncorrected formation energy, the calculation gives -1.04 eV/atom.

It has space group P4/mmm (No. 123), with a = 4.441 Å, b = 4.441 Å, c = 5.761 Å, α = 90.00°, β = 90.00° and γ = 90.00°. The asymmetric unit holds Na at (0.000, 0.000, 0.000), Bi at (0.500, 0.500, 0.500), Pb at (0.000, 0.000, 0.500) and F at (0.000, 0.500, 0.000).

=====

no.,total magnetization (μB/f.u.),D(E_F) (states/eV/f.u.)
1,0.0,0.92
2,1.0,1.55
3,0.0,3.28
4,0.0,2.04
5,0.0,5.50
6,0.0,1.72